Record 1
## CuNi2B (PBE)

Data for crystalline CuNi2B at its relaxed geometry.

Output
* calculated volume: 41.47 Å³/f.u.
* energy relative to the elements: -0.04 eV per atom
* total magnetic moment: 0.0 μB per formula unit
* calculated total energy: -5.62 eV/atom
* D(E_F): 3.53 states/eV per cell

a b c (Å): 2.7329 2.7329 19.2350
angles (deg): 90.00 90.00 120.00
Closest atoms and distances in Å follow each position.
Space group R3m (No. 160, hexagonal axes)
Inequivalent atoms, fractional coordinates:
Cu: 0.0000 0.0000 0.0000 x3  6 Ni 2.57-2.58, 6 Cu 2.73
Ni: 0.0000 0.0000 0.5606 x3  3 B 1.97
Ni: 0.0000 0.0000 0.7721 x3  3 B 1.96
B: 0.0000 0.0000 0.1662 x3  6 Ni 1.96-1.97



Record 2
## CuNiB3 (PBE)

Data for crystalline CuNiB3 at its relaxed geometry.

Output
* calculated volume: 52.84 Å³/f.u.
* energy relative to the elements: 1.58 eV per atom
* total magnetic moment: 0.0 μB per formula unit
* calculated total energy: -4.40 eV/atom
* offset from the most stable computed form: 0.483 eV/atom
* D(E_F): 1.73 states/eV per cell

a b c (Å): 3.7524 3.7524 3.7524
angles (deg): 90.00 90.00 90.00
Closest atoms and distances in Å follow each position.
Space group Pm-3m (No. 221)
Inequivalent atoms, fractional coordinates:
Cu: 0.0000 0.0000 0.0000 x1  6 B 1.88
Ni: 0.5000 0.5000 0.5000 x1  12 B 2.65
B: 0.0000 0.0000 0.5000 x3  2 Cu 1.88



Record 3
## Cu2Ni2B (PBE)

Data for crystalline Cu2Ni2B at its relaxed geometry.

Output
* calculated volume: 54.23 Å³/f.u.
* energy relative to the elements: 0.01 eV per atom
* total magnetic moment: 0.0 μB per formula unit
* calculated total energy: -5.27 eV/atom
* offset from the most stable computed form: 0.000 eV/atom
* D(E_F): 2.72 states/eV per cell

a b c (Å): 5.1363 5.1363 4.1112
angles (deg): 90.00 90.00 90.00
Closest atoms and distances in Å follow each position.
Space group P4/mbm (No. 127)
Inequivalent atoms, fractional coordinates:
Cu: 0.1672 0.3328 0.0000 x4  6 Ni 2.42-2.65, 5 Cu 2.43-2.71
Ni: 0.1580 0.6580 0.5000 x4  2 B 1.94
B: 0.0000 0.0000 0.5000 x2  4 Ni 1.94



Record 4
## Cu2NiB (PBE)

Data for crystalline Cu2NiB at its relaxed geometry.

Output
* calculated volume: 43.18 Å³/f.u.
* energy relative to the elements: 0.53 eV per atom
* total magnetic moment: 0.0 μB per formula unit
* calculated total energy: -4.63 eV/atom
* D(E_F): 7.79 states/eV per cell

a b c (Å): 3.2296 3.2296 16.5610
angles (deg): 90.00 90.00 90.00
Closest atoms and distances in Å follow each position.
Space group I-42d (No. 122)
Inequivalent atoms, fractional coordinates:
Cu: 0.2404 0.2500 0.1250 x8  4 Cu 2.24-2.33, 2 B 2.35, 2 Ni 2.37
Ni: 0.0000 0.0000 0.5000 x4  4 B 2.28, 4 Cu 2.37
B: 0.0000 0.0000 0.0000 x4  4 Ni 2.28, 4 Cu 2.35



Record 5
## CuNi3B (PBE)

Data for crystalline CuNi3B at its relaxed geometry.

Output
* calculated volume: 74.97 Å³/f.u.
* energy relative to the elements: 1.80 eV per atom
* total magnetic moment: 0.9 μB per formula unit
* calculated total energy: -3.82 eV/atom
* offset from the most stable computed form: 1.886 eV/atom
* D(E_F): 6.30 states/eV per cell

a b c (Å): 4.2165 4.2165 4.2165
angles (deg): 90.00 90.00 90.00
Closest atoms and distances in Å follow each position.
Space group Pm-3m (No. 221)
Inequivalent atoms, fractional coordinates:
Cu: 0.0000 0.0000 0.0000 x1  6 Ni 2.11
Ni: 0.0000 0.0000 0.5000 x3  2 Cu 2.11
B: 0.5000 0.5000 0.5000 x1  12 Ni 2.98



Record 6
## Cu3NiB (PBE)

Data for crystalline Cu3NiB at its relaxed geometry.

Output
* calculated volume: 58.18 Å³/f.u.
* energy relative to the elements: 0.35 eV per atom
* total magnetic moment: 0.0 μB per formula unit
* calculated total energy: -4.60 eV/atom
* offset from the most stable computed form: 0.000 eV/atom
* D(E_F): 1.84 states/eV per cell

a b c (Å): 3.8749 3.8749 3.8749
angles (deg): 90.00 90.00 90.00
Closest atoms and distances in Å follow each position.
Space group Pm-3m (No. 221)
Inequivalent atoms, fractional coordinates:
Cu: 0.0000 0.0000 0.5000 x3  2 B 1.94
Ni: 0.5000 0.5000 0.5000 x1  12 Cu 2.74
B: 0.0000 0.0000 0.0000 x1  6 Cu 1.94



Record 7
## CuNi5B2 (PBE)

Data for crystalline CuNi5B2 at its relaxed geometry.

Output
* calculated volume: 80.41 Å³/f.u.
* energy relative to the elements: -0.16 eV per atom
* total magnetic moment: 0.0 μB per formula unit
* calculated total energy: -5.95 eV/atom
* D(E_F): 6.06 states/eV per cell

a b c (Å): 3.0063 5.0749 10.5407
angles (deg): 90.00 90.00 90.00
Closest atoms and distances in Å follow each position.
Space group Immm (No. 71)
Inequivalent atoms, fractional coordinates:
Cu: 0.0000 0.0000 0.0000 x2  10 Ni 2.54-2.55
Ni: 0.0000 0.2489 0.3467 x8  3 B 2.01-2.04
Ni: 0.0000 0.5000 0.0000 x2  2 B 2.06
B: 0.0000 0.5000 0.1955 x4  7 Ni 2.01-2.06



Record 8
## CuNi3B (PBE)

Data for crystalline CuNi3B at its relaxed geometry.

Output
* calculated volume: 61.00 Å³/f.u.
* energy relative to the elements: 0.27 eV per atom
* total magnetic moment: 0.0 μB per formula unit
* calculated total energy: -5.35 eV/atom
* offset from the most stable computed form: 0.357 eV/atom
* D(E_F): 24.21 states/eV per cell

a b c (Å): 4.3287 4.3287 13.0227
angles (deg): 90.00 90.00 90.00
Closest atoms and distances in Å follow each position.
Space group I-4m2 (No. 119)
Inequivalent atoms, fractional coordinates:
Cu: 0.0000 0.0000 0.1953 x4  2 B 2.28
Ni: 0.0000 0.2505 0.6255 x8  2 B 1.95-1.96, 2 Ni 2.16-2.17
Ni: 0.0000 0.5000 0.0466 x4  2 B 2.25, 2 Ni 2.49
B: 0.0000 0.0000 0.5000 x2  4 Ni 1.96
B: 0.0000 0.5000 0.7500 x2  4 Ni 1.95



Record 9
## CuNi2B (PBE)

Data for crystalline CuNi2B at its relaxed geometry.

Output
* calculated volume: 39.27 Å³/f.u.
* energy relative to the elements: -0.18 eV per atom
* total magnetic moment: 0.0 μB per formula unit
* calculated total energy: -5.77 eV/atom
* D(E_F): 6.84 states/eV per cell

a b c (Å): 9.5384 2.7811 5.9329
angles (deg): 90.00 93.44 90.00
Closest atoms and distances in Å follow each position.
Space group C2/m (No. 12)
Inequivalent atoms, fractional coordinates:
Cu: 0.1321 0.0000 0.4676 x4  1 B 2.46, 7 Ni 2.47-2.61, 3 Cu 2.57-2.65
Ni: 0.0389 0.5000 0.7994 x4  4 B 2.09-2.10
Ni: 0.2313 0.5000 0.1654 x4  3 B 2.00-2.18
B: 0.0934 0.0000 0.0533 x4  1 B 1.85, 2 Ni 2.00



Record 10
## Cu2Ni2B (PBE)

Data for crystalline Cu2Ni2B at its relaxed geometry.

Output
* calculated volume: 58.64 Å³/f.u.
* energy relative to the elements: 0.74 eV per atom
* total magnetic moment: 0.0 μB per formula unit
* calculated total energy: -4.54 eV/atom
* offset from the most stable computed form: 0.730 eV/atom
* D(E_F): 5.32 states/eV per cell

a b c (Å): 3.0454 3.0454 12.6459
angles (deg): 90.00 90.00 90.00
Closest atoms and distances in Å follow each position.
Space group I4/mmm (No. 139)
Inequivalent atoms, fractional coordinates:
Cu: 0.0000 0.5000 0.2500 x4  4 Cu 2.15
Ni: 0.0000 0.0000 0.0887 x4  1 Ni 2.24, 4 B 2.43
B: 0.0000 0.0000 0.5000 x2  8 Ni 2.43



Record 11
## CuNiB (PBE)

Data for crystalline CuNiB at its relaxed geometry.

Output
* calculated volume: 30.14 Å³/f.u.
* energy relative to the elements: -0.04 eV per atom
* total magnetic moment: 0.0 μB per formula unit
* calculated total energy: -5.56 eV/atom
* D(E_F): 2.84 states/eV per cell

a b c (Å): 4.7459 2.7510 9.3668
angles (deg): 90.00 99.62 90.00
Closest atoms and distances in Å follow each position.
Space group C2/m (No. 12)
Inequivalent atoms, fractional coordinates:
Cu: 0.2030 0.0000 0.1075 x4  9 Cu 2.54-2.75, 3 Ni 2.54-2.55
Ni: 0.1092 0.5000 0.3230 x4  4 B 1.99-2.06
B: 0.1816 0.5000 0.5461 x4  3 B 1.79-1.80, 3 Ni 1.99



Record 12
## CuNi2B (PBE)

Data for crystalline CuNi2B at its relaxed geometry.

Output
* calculated volume: 42.00 Å³/f.u.
* energy relative to the elements: 0.08 eV per atom
* total magnetic moment: 0.0 μB per formula unit
* calculated total energy: -5.50 eV/atom
* D(E_F): 4.34 states/eV per cell

a b c (Å): 6.1134 6.1134 4.4953
angles (deg): 90.00 90.00 90.00
Closest atoms and distances in Å follow each position.
Space group I-42d (No. 122)
Inequivalent atoms, fractional coordinates:
Cu: 0.0000 0.0000 0.0000 x4  2 B 2.25, 4 Ni 2.50
Ni: 0.1687 0.2500 0.6250 x8  2 B 1.93
B: 0.0000 0.0000 0.5000 x4  4 Ni 1.93